Entry 1:
Crystalline LaNbCoCu at its relaxed geometry. Source: OQMD, functional PBE-GGA.

DFT formation energy ... 0.33 eV per atom
Offset from the most stable computed form ... 0 meV per atom
Calculated total energy ... -6.13 eV/atom

a = 4.7100 Å, b = 4.7100 Å, c = 4.7100 Å
α = 60.00°, β = 60.00°, γ = 60.00°
Atoms (fractional coordinates):
La  0.0000  0.0000  0.0000
Nb  0.5000  0.5000  0.5000
Co  0.2500  0.2500  0.2500
Cu  0.7500  0.7500  0.7500


Entry 2:
Crystalline Pa2CSe at its relaxed geometry. Source: OQMD, functional PBE-GGA.

Calculated total energy ... -8.78 eV/atom

a = 3.5885 Å, b = 3.5885 Å, c = 7.0835 Å
α = 90.00°, β = 90.00°, γ = 120.00°
Atoms (fractional coordinates):
Pa  0.3333  0.6667  0.2030
Pa  0.6667  0.3333  0.7970
C  0.0000  0.0000  0.0000
Se  0.0000  0.0000  0.5000


Entry 3:
Crystalline Gd2LuMg2 at its relaxed geometry. Source: OQMD, functional PBE-GGA.

Calculated total energy ... -3.40 eV/atom

a = 8.5644 Å, b = 8.5644 Å, c = 3.3905 Å
α = 90.00°, β = 90.00°, γ = 145.17°
Atoms (fractional coordinates):
Gd  0.1097  0.8903  0.0000
Gd  0.8903  0.1097  0.0000
Lu  0.5000  0.5000  0.5000
Mg  0.2998  0.7002  0.5000
Mg  0.7002  0.2998  0.5000


Entry 4:
Crystalline PuHg3Se2F6 at its relaxed geometry. Source: OQMD, functional PBE-GGA.

Calculated total energy ... -4.65 eV/atom

a = 7.8669 Å, b = 7.8669 Å, c = 4.5682 Å
α = 90.91°, β = 90.91°, γ = 59.68°
Atoms (fractional coordinates):
Pu  0.0000  0.0000  0.0000
Hg  0.0000  0.5000  0.5000
Hg  0.5000  0.0000  0.5000
Hg  0.5000  0.5000  0.5000
Se  0.3323  0.3323  0.2637
Se  0.6677  0.6677  0.7363
F  0.1300  0.1300  0.2655
F  0.1314  0.7360  0.2473
F  0.2640  0.8686  0.7527
F  0.7360  0.1314  0.2473
F  0.8686  0.2640  0.7527
F  0.8700  0.8700  0.7345


Entry 5:
Crystalline Ta4CuSnC2 at its relaxed geometry. Source: OQMD, functional PBE-GGA.

Calculated total energy ... -9.49 eV/atom

a = 3.1813 Å, b = 3.1813 Å, c = 13.5981 Å
α = 90.00°, β = 90.00°, γ = 120.00°
Atoms (fractional coordinates):
Ta  0.0000  0.0000  0.1512
Ta  0.0000  0.0000  0.8488
Ta  0.6667  0.3333  0.3264
Ta  0.6667  0.3333  0.6736
Cu  0.6667  0.3333  0.0000
Sn  0.0000  0.0000  0.5000
C  0.3333  0.6667  0.2377
C  0.3333  0.6667  0.7623


Entry 6:
Crystalline TbSmMo at its relaxed geometry. Source: OQMD, functional PBE-GGA.

DFT formation energy ... 1.27 eV per atom
Calculated total energy ... -5.46 eV/atom

a = 4.9199 Å, b = 4.9199 Å, c = 4.9199 Å
α = 60.00°, β = 60.00°, γ = 60.00°
Atoms (fractional coordinates):
Tb  0.0000  0.0000  0.0000
Sm  0.7500  0.7500  0.7500
Mo  0.5000  0.5000  0.5000


Entry 7:
Crystalline MgScBPd at its relaxed geometry. Source: OQMD, functional PBE-GGA.

Offset from the most stable computed form ... 108 meV per atom
Calculated total energy ... -4.98 eV/atom

a = 4.3144 Å, b = 4.3144 Å, c = 4.3144 Å
α = 60.00°, β = 60.00°, γ = 60.00°
Atoms (fractional coordinates):
Mg  0.0000  0.0000  0.0000
Sc  0.7500  0.7500  0.7500
B  0.5000  0.5000  0.5000
Pd  0.2500  0.2500  0.2500


Entry 8:
Crystalline Cs3K2Sb2Au at its relaxed geometry. Source: OQMD, functional PBE-GGA.

Calculated total energy ... -2.52 eV/atom

a = 10.5135 Å, b = 10.5135 Å, c = 10.5135 Å
α = 34.93°, β = 34.93°, γ = 34.93°
Atoms (fractional coordinates):
Cs  0.0000  0.0000  0.0000
Cs  0.1374  0.1374  0.1374
Cs  0.8626  0.8626  0.8626
K  0.2844  0.2844  0.2844
K  0.7156  0.7156  0.7156
Sb  0.4086  0.4086  0.4086
Sb  0.5914  0.5914  0.5914
Au  0.5000  0.5000  0.5000